[1]
Below is an optimized crystal structure of Cd6PdPt2, with properties calculated at the GGA-PBE level.

Calculated values
volume	168.7	Å³/cell
ΔE_f	-244	meV/atom
VASP energy	-2.77	eV per atom

Unit cell a=5.027 b=5.027 c=8.999 alpha=103.87 beta=103.87 gamma=50.27
Element x y z (fractional)
Cd 0.000 0.000 0.187
Cd 0.000 0.000 0.813
Cd 0.331 0.331 0.938
Cd 0.336 0.336 0.598
Cd 0.664 0.664 0.402
Cd 0.669 0.669 0.062
Pd 0.000 0.000 0.500
Pt 0.327 0.327 0.272
Pt 0.673 0.673 0.728

[2]
Below is an optimized crystal structure of ScPd2, with properties calculated at the GGA-PBE level.

Calculated values
volume	100.7	Å³/cell
ΔE_f	-884	meV/atom
VASP energy	-6.46	eV per atom

Unit cell a=4.908 b=4.908 c=5.616 alpha=102.31 beta=102.31 gamma=50.00
Element x y z (fractional)
Sc 0.145 0.145 0.297
Sc 0.855 0.855 0.703
Pd 0.175 0.175 0.813
Pd 0.500 0.500 0.000
Pd 0.500 0.500 0.500
Pd 0.825 0.825 0.187

[3]
Below is an optimized crystal structure of Na3Ac3TiS8, with properties calculated at the GGA-PBE level.

Calculated values
raw formation energy	-1.66	eV/atom
volume	411.5	Å³/cell
VASP energy	-5.48	eV per atom

Unit cell a=8.277 b=8.277 c=8.277 alpha=61.16 beta=61.16 gamma=61.16
Element x y z (fractional)
Na 0.000 0.500 0.500
Na 0.500 0.000 0.500
Na 0.500 0.500 0.000
Ac 0.000 0.000 0.500
Ac 0.000 0.500 0.000
Ac 0.500 0.000 0.000
Ti 0.500 0.500 0.500
S 0.249 0.249 0.249
S 0.286 0.286 0.714
S 0.286 0.714 0.286
S 0.286 0.714 0.714
S 0.714 0.286 0.286
S 0.714 0.286 0.714
S 0.714 0.714 0.286
S 0.751 0.751 0.751

| no. | M_tot (μB per formula unit) |
| --- | --- |
| 1 | 0.0 |
| 2 | 0.0 |
| 3 | 0.0 |